[1]
! Li2CdW | the Alexandria database | PBE-GGA | relaxed; values from VASP
! Total energy, eV/atom: -3.646
! Formation energy from the elements, kcal/mol of atoms: 18.0
! SG: I-4m2 (119)
! Theoretical density, g/cm3: 7.66
! E above lowest polymorph, kJ/mol of formula units: 212
! Calculated volume, Å³/cell: 67.3
&SYSTEM
  ibrav = 0, nat = 4, ntyp = 3
/
ATOMIC_SPECIES
Li 6.94 Li.upf
Cd 112.41 Cd.upf
W 183.84 W.upf
CELL_PARAMETERS angstrom
-2.068 2.068 3.931
2.068 -2.068 3.931
2.068 2.068 -3.931
ATOMIC_POSITIONS crystal
Li 0.000 0.000 0.000
Li 0.750 0.250 0.500
Cd 0.500 0.500 0.000
W 0.250 0.750 0.500

[2]
! LiCdW2 | the Alexandria database | PBE-GGA | relaxed; values from VASP
! Total energy, eV/atom: -6.600
! Formation energy from the elements, kcal/mol of atoms: 13.5
! SG: Cmmm (65)
! Theoretical density, g/cm3: 12.19
! E above lowest polymorph, kJ/mol of formula units: 118
! Calculated volume, Å³/cell: 66.4
&SYSTEM
  ibrav = 0, nat = 4, ntyp = 3
/
ATOMIC_SPECIES
Li 6.94 Li.upf
Cd 112.41 Cd.upf
W 183.84 W.upf
CELL_PARAMETERS angstrom
2.617 -4.694 0.000
2.617 4.694 0.000
0.000 0.000 2.701
ATOMIC_POSITIONS crystal
Li 0.000 0.000 0.000
Cd 0.500 0.500 0.000
W 0.000 0.500 0.500
W 0.500 0.000 0.500

[3]
! LiCd2W | the Alexandria database | PBE-GGA | relaxed; values from VASP
! Total energy, eV/atom: -3.839
! Formation energy from the elements, kcal/mol of atoms: 7.7
! SG: R3m (160)
! Theoretical density, g/cm3: 9.39
! E above lowest polymorph, kJ/mol of formula units: 32
! Calculated volume, Å³/cell: 73.5
&SYSTEM
  ibrav = 0, nat = 4, ntyp = 3
/
ATOMIC_SPECIES
Li 6.94 Li.upf
Cd 112.41 Cd.upf
W 183.84 W.upf
CELL_PARAMETERS angstrom
1.443 0.833 10.196
-1.443 0.833 10.196
0.000 -1.666 10.196
ATOMIC_POSITIONS crystal
Li 0.000 0.000 0.000
Cd 0.252 0.252 0.252
Cd 0.493 0.493 0.493
W 0.744 0.744 0.744

[4]
! LiCdW | the Alexandria database | PBE-GGA | relaxed; values from VASP
! Total energy, eV/atom: -4.868
! Formation energy from the elements, kcal/mol of atoms: 9.0
! SG: P3m1 (156)
! Theoretical density, g/cm3: 9.75
! E above lowest polymorph, kJ/mol of formula units: 0
! Calculated volume, Å³/cell: 51.6
&SYSTEM
  ibrav = 0, nat = 3, ntyp = 3
/
ATOMIC_SPECIES
Li 6.94 Li.upf
Cd 112.41 Cd.upf
W 183.84 W.upf
CELL_PARAMETERS angstrom
2.823 0.000 0.000
-1.411 2.444 0.000
0.000 0.000 7.486
ATOMIC_POSITIONS crystal
Li 0.000 0.000 0.000
Cd 0.333 0.667 0.668
W 0.667 0.333 0.320